A plane-wave DFT calculation with PBE was carried out for a relaxed MgHgAs2 crystal.

a b c (Å): 5.7660 7.5483 3.8482
angles (deg): 90.00 90.00 90.00
Positions (direct):
Mg 0.0000 0.0000 0.0000
Mg 0.5000 0.5000 0.0000
Hg 0.0000 0.5000 0.0000
Hg 0.5000 0.0000 0.0000
As 0.2500 0.2500 0.5000
As 0.2500 0.7500 0.5000
As 0.7500 0.2500 0.5000
As 0.7500 0.7500 0.5000

Output
Raw total energy ... -22.02 eV per cell
Energy relative to the lowest polymorph listed for this composition ... 107 meV per atom
Calculated formation energy ... 0.046 eV per atom